Compound: Ac2BiPd
Source: the Alexandria database
Functional: PBE-GGA
Structure: optimized geometry

Properties
- ΔH_f (0 K): -2.53 eV/f.u.

a b c (Å): 8.033 8.033 8.033
angles (deg): 90.00 90.00 90.00
Space group Fm-3m (No. 225)
Inequivalent atoms, fractional coordinates:
Ac 0.250 0.250 0.250
Bi 0.000 0.000 0.000
Pd 0.000 0.000 0.500

---

Compound: CdTcBr2
Source: the Alexandria database
Functional: PBE-GGA
Structure: optimized geometry

Properties
- Raw formation energy: 0.798 eV/atom

a b c (Å): 7.265 7.265 7.265
angles (deg): 90.00 90.00 90.00
Space group F-43m (No. 216)
Inequivalent atoms, fractional coordinates:
Cd 0.000 0.000 0.000
Tc 0.250 0.250 0.250
Br 0.000 0.000 0.500
Br 0.250 0.250 0.750